(P)
A plane-wave DFT calculation with PBE was carried out for crystalline HoTm12Sc7 at its relaxed geometry.

SG: R-3 (148)
total magnetic moment: 0.2445 μB/atom

a = 8.9594 Å, b = 8.9594 Å, c = 8.9594 Å
α = 108.38°, β = 108.38°, γ = 108.38°
Positions (direct):
Ho  0.0000  0.0000  0.0000
Tm  0.0696  0.2957  0.4062
Tm  0.1980  0.6745  0.3862
Tm  0.2957  0.4062  0.0696
Tm  0.3255  0.6138  0.8020
Tm  0.3862  0.1980  0.6745
Tm  0.4062  0.0696  0.2957
Tm  0.5938  0.9304  0.7043
Tm  0.6138  0.8020  0.3255
Tm  0.6745  0.3862  0.1980
Tm  0.7043  0.5938  0.9304
Tm  0.8020  0.3255  0.6138
Tm  0.9304  0.7043  0.5938
Sc  0.0064  0.1071  0.6847
Sc  0.1071  0.6847  0.0064
Sc  0.3153  0.9936  0.8929
Sc  0.5000  0.5000  0.5000
Sc  0.6847  0.0064  0.1071
Sc  0.8929  0.3153  0.9936
Sc  0.9936  0.8929  0.3153


(Q)
A plane-wave DFT calculation with PBE was carried out for crystalline HoTm12Sc7 at its relaxed geometry.

SG: Im-3m (229)
total magnetic moment: 0.0055 μB/atom

a = 9.3647 Å, b = 9.3647 Å, c = 9.3647 Å
α = 109.47°, β = 109.47°, γ = 109.47°
Positions (direct):
Ho  0.0000  0.0000  0.0000
Tm  0.0000  0.2577  0.7423
Tm  0.0000  0.7423  0.2577
Tm  0.2577  0.0000  0.7423
Tm  0.2577  0.2577  0.5153
Tm  0.2577  0.5153  0.2577
Tm  0.2577  0.7423  0.0000
Tm  0.4847  0.7423  0.7423
Tm  0.5153  0.2577  0.2577
Tm  0.7423  0.0000  0.2577
Tm  0.7423  0.2577  0.0000
Tm  0.7423  0.4847  0.7423
Tm  0.7423  0.7423  0.4847
Sc  0.0000  0.0000  0.5000
Sc  0.0000  0.5000  0.0000
Sc  0.0000  0.5000  0.5000
Sc  0.5000  0.0000  0.0000
Sc  0.5000  0.0000  0.5000
Sc  0.5000  0.5000  0.0000
Sc  0.5000  0.5000  0.5000


(P) is favored, and the nearest alternative lies 528 meV/atom above it.


(P)
A plane-wave DFT calculation with PBE was carried out for crystalline Ho2TmSc5 at its relaxed geometry.

SG: Fmm2 (42)
total magnetic moment: 0.0034 μB/atom

a = 7.9541 Å, b = 6.8335 Å, c = 6.3169 Å
α = 74.32°, β = 55.81°, γ = 49.87°
Positions (direct):
Ho  0.2458  0.7542  0.2458
Ho  0.7542  0.2458  0.7542
Tm  0.3298  0.3298  0.6702
Sc  0.2469  0.2469  0.2531
Sc  0.3362  0.8320  0.6638
Sc  0.7469  0.7469  0.7531
Sc  0.8288  0.8288  0.1712
Sc  0.8320  0.3362  0.1680


(Q)
A plane-wave DFT calculation with PBE was carried out for crystalline Ho2TmSc5 at its relaxed geometry.

SG: I4mm (107)
total magnetic moment: 0.0001 μB/atom

a = 6.7485 Å, b = 6.7485 Å, c = 9.3840 Å
α = 90.00°, β = 90.00°, γ = 90.00°
Positions (direct):
Ho  0.0000  0.5000  0.0000
Ho  0.0000  0.5000  0.5000
Ho  0.5000  0.0000  0.0000
Ho  0.5000  0.0000  0.5000
Tm  0.0000  0.0000  0.9996
Tm  0.5000  0.5000  0.4996
Sc  0.0000  0.0000  0.5003
Sc  0.2498  0.2498  0.2500
Sc  0.2502  0.2502  0.7500
Sc  0.2498  0.7502  0.2500
Sc  0.2502  0.7498  0.7500
Sc  0.5000  0.5000  0.0003
Sc  0.7502  0.2498  0.2500
Sc  0.7498  0.2502  0.7500
Sc  0.7502  0.7502  0.2500
Sc  0.7498  0.7498  0.7500


(P) is favored, and the nearest alternative lies 38 meV/atom above it.